Below is crystalline FeHgB2C at its relaxed geometry, with properties calculated at the PBE level.

## Properties
**ΔH_f (0 K)**: 2.003 eV/atom

Cell lengths 3.454, 3.454, 4.910 Å; angles 90.00, 90.00, 90.00 degrees
Space group P4/mmm (No. 123)
Asymmetric unit:
Fe1 0.000 0.000 0.000 [1 per cell]
Hg1 0.500 0.500 0.000 [1 per cell]
B1 0.000 0.500 0.500 [2 per cell]
C1 0.500 0.500 0.500 [1 per cell]